# Co7Ru2O12 (GGA+U, relaxed)
# DFT total energy = -6.42 eV/atom
data_Co7Ru2O12
_cell_length_a 5.983
_cell_length_b 5.988
_cell_length_c 13.132
_cell_angle_alpha 102.22
_cell_angle_beta 101.30
_cell_angle_gamma 91.74
_space_group_name_H-M_alt 'P 1'
_space_group_IT_number 1
_space_group_name_Hall 'P 1'
loop_
_atom_site_label
_atom_site_type_symbol
_atom_site_fract_x
_atom_site_fract_y
_atom_site_fract_z
Co1 Co 0.000 0.000 0.000
Co2 Co 0.001 0.505 0.504
Co3 Co 0.004 0.007 0.504
Co4 Co 0.135 0.872 0.749
Co5 Co 0.230 0.453 0.927
Co6 Co 0.319 0.330 0.666
Co7 Co 0.335 0.322 0.171
Co8 Co 0.461 0.232 0.430
Co9 Co 0.502 0.003 0.002
Co10 Co 0.538 0.780 0.577
Co11 Co 0.661 0.680 0.832
Co12 Co 0.683 0.674 0.339
Co13 Co 0.772 0.550 0.076
Co14 Co 0.871 0.133 0.254
Ru1 Ru 0.175 0.684 0.329
Ru2 Ru 0.323 0.823 0.179
Ru3 Ru 0.677 0.183 0.824
Ru4 Ru 0.824 0.323 0.676
O1 O 0.077 0.102 0.660
O2 O 0.083 0.570 0.168
O3 O 0.085 0.545 0.670
O4 O 0.097 0.059 0.168
O5 O 0.226 0.255 0.514
O6 O 0.226 0.771 0.490
O7 O 0.252 0.222 0.008
O8 O 0.255 0.761 0.019
O9 O 0.410 0.445 0.334
O10 O 0.427 0.405 0.821
O11 O 0.432 0.919 0.340
O12 O 0.445 0.941 0.833
O13 O 0.551 0.101 0.664
O14 O 0.559 0.065 0.170
O15 O 0.565 0.593 0.176
O16 O 0.571 0.549 0.668
O17 O 0.748 0.779 0.994
O18 O 0.749 0.242 0.984
O19 O 0.776 0.240 0.517
O20 O 0.784 0.759 0.501
O21 O 0.901 0.941 0.832
O22 O 0.918 0.433 0.836
O23 O 0.938 0.449 0.338
O24 O 0.944 0.921 0.349